The following is a PBE calculation of crystalline LiTcTe at its relaxed geometry, from the Alexandria database.

Unit cell a=7.248 b=6.977 c=3.080 alpha=82.48 beta=72.61 gamma=24.91
Atoms (fractional coordinates):
1 Li 0.000 0.000 0.000
2 Tc 0.657 0.657 0.343
3 Te 0.305 0.305 0.695

Values from the calculation:
As for the space group: No. 42. The energy above the most stable polymorph in this dataset is 574 meV per atom. The total energy comes out at -14.0 eV for the cell shown.

=====

The following is a PBE calculation of crystalline Li2TcTe at its relaxed geometry, from the Alexandria database.

Unit cell a=2.858 b=2.858 c=9.302 alpha=90.00 beta=90.00 gamma=103.98
Atoms (fractional coordinates):
1 Li 0.000 0.000 0.222
2 Li 0.000 0.000 0.778
3 Tc 0.500 0.500 0.000
4 Te 0.500 0.500 0.500

Values from the calculation:
As for the space group: No. 65. The total energy comes out at -16.4 eV for the cell shown.

=====

The following is a PBE calculation of crystalline Li2TcTe at its relaxed geometry, from the Alexandria database.

Unit cell a=3.403 b=3.403 c=5.843 alpha=90.00 beta=90.00 gamma=90.00
Atoms (fractional coordinates):
1 Li 0.000 0.000 0.000
2 Li 0.500 0.500 0.237
3 Tc 0.000 0.000 0.496
4 Te 0.500 0.500 0.708

Values from the calculation:
As for the space group: No. 99. The total energy comes out at -17.6 eV for the cell shown.

=====

The following is a PBE calculation of crystalline LiTc2Te at its relaxed geometry, from the Alexandria database.

Unit cell a=3.014 b=3.014 c=8.492 alpha=90.00 beta=90.00 gamma=115.71
Atoms (fractional coordinates):
1 Li 0.000 0.000 0.000
2 Tc 0.500 0.500 0.260
3 Tc 0.500 0.500 0.740
4 Te 0.000 0.000 0.500

Values from the calculation:
As for the space group: No. 65. The total energy comes out at -22.4 eV for the cell shown.

=====

The following is a PBE calculation of crystalline LiTcTe2 at its relaxed geometry, from the Alexandria database.

Unit cell a=3.344 b=4.716 c=5.037 alpha=90.00 beta=90.00 gamma=90.00
Atoms (fractional coordinates):
1 Li 0.000 0.000 0.000
2 Tc 0.000 0.500 0.500
3 Te 0.500 0.000 0.500
4 Te 0.500 0.500 0.000

Values from the calculation:
As for the space group: No. 47. The energy above the most stable polymorph in this dataset is 303 meV per atom. The total energy comes out at -18.2 eV for the cell shown.

=====

The following is a PBE calculation of crystalline LiTcTe2 at its relaxed geometry, from the Alexandria database.

Unit cell a=4.615 b=4.615 c=6.580 alpha=103.09 beta=103.09 gamma=43.83
Atoms (fractional coordinates):
1 Li 0.000 0.000 0.000
2 Tc 0.088 0.088 0.465
3 Te 0.351 0.351 0.330
4 Te 0.675 0.675 0.783

Values from the calculation:
As for the space group: No. 8. The energy above the most stable polymorph in this dataset is 25 meV per atom. The total energy comes out at -19.3 eV for the cell shown.

=====

The following is a PBE calculation of crystalline LiTc3Te at its relaxed geometry, from the Alexandria database.

Unit cell a=4.262 b=4.262 c=4.262 alpha=90.00 beta=90.00 gamma=90.00
Atoms (fractional coordinates):
1 Li 0.000 0.000 0.000
2 Tc 0.000 0.000 0.500
3 Tc 0.000 0.500 0.000
4 Tc 0.500 0.000 0.000
5 Te 0.500 0.500 0.500

Values from the calculation:
As for the space group: No. 221. The energy above the most stable polymorph in this dataset is 0 meV per atom. The total energy comes out at -30.2 eV for the cell shown.

=====

The following is a PBE calculation of crystalline LiTcTe2 at its relaxed geometry, from the Alexandria database.

Unit cell a=7.391 b=7.391 c=7.391 alpha=30.76 beta=30.76 gamma=30.76
Atoms (fractional coordinates):
1 Li 0.000 0.000 0.000
2 Tc 0.500 0.500 0.500
3 Te 0.241 0.241 0.241
4 Te 0.759 0.759 0.759

Values from the calculation:
As for the space group: No. 166. The energy above the most stable polymorph in this dataset is 0 meV per atom. The total energy comes out at -19.4 eV for the cell shown.

=====

The following is a PBE calculation of crystalline LiTcTe at its relaxed geometry, from the Alexandria database.

Unit cell a=4.452 b=4.452 c=3.251 alpha=90.00 beta=90.00 gamma=120.00
Atoms (fractional coordinates):
1 Li 0.000 0.000 0.000
2 Tc 0.333 0.667 0.500
3 Te 0.667 0.333 0.500

Values from the calculation:
As for the space group: No. 187. The energy above the most stable polymorph in this dataset is 285 meV per atom. The total energy comes out at -14.9 eV for the cell shown.

=====

The following is a PBE calculation of crystalline Li4TcTe at its relaxed geometry, from the Alexandria database.

Unit cell a=4.975 b=4.975 c=4.975 alpha=60.00 beta=60.00 gamma=60.00
Atoms (fractional coordinates):
1 Li 0.123 0.123 0.123
2 Li 0.123 0.123 0.632
3 Li 0.123 0.632 0.123
4 Li 0.632 0.123 0.123
5 Tc 0.750 0.750 0.750
6 Te 0.500 0.500 0.500

Values from the calculation:
As for the space group: No. 216. The total energy comes out at -20.0 eV for the cell shown.

=====

The following is a PBE calculation of crystalline LiTcTe2 at its relaxed geometry, from the Alexandria database.

Unit cell a=6.002 b=6.002 c=6.002 alpha=140.89 beta=140.89 gamma=56.50
Atoms (fractional coordinates):
1 Li 0.000 0.000 0.000
2 Tc 0.250 0.750 0.500
3 Te 0.500 0.500 0.000
4 Te 0.750 0.250 0.500

Values from the calculation:
As for the space group: No. 119. The energy above the most stable polymorph in this dataset is 436 meV per atom. The total energy comes out at -17.6 eV for the cell shown.

=====

The following is a PBE calculation of crystalline Li2TcTe at its relaxed geometry, from the Alexandria database.

Unit cell a=4.907 b=4.907 c=4.632 alpha=108.28 beta=108.28 gamma=40.39
Atoms (fractional coordinates):
1 Li 0.000 0.000 0.000
2 Li 0.749 0.749 0.151
3 Tc 0.237 0.237 0.632
4 Te 0.509 0.509 0.531

Values from the calculation:
As for the space group: No. 8. The total energy comes out at -17.4 eV for the cell shown.

=====

The following is a PBE calculation of crystalline LiTcTe2 at its relaxed geometry, from the Alexandria database.

Unit cell a=7.769 b=7.769 c=7.769 alpha=154.86 beta=154.15 gamma=36.37
Atoms (fractional coordinates):
1 Li 0.000 0.000 0.000
2 Tc 0.248 0.748 0.500
3 Te 0.391 0.391 0.000
4 Te 0.659 0.159 0.500

Values from the calculation:
As for the space group: No. 44. The energy above the most stable polymorph in this dataset is 26 meV per atom. The total energy comes out at -19.3 eV for the cell shown.

=====

The following is a PBE calculation of crystalline LiTc2Te at its relaxed geometry, from the Alexandria database.

Unit cell a=3.556 b=4.674 c=4.543 alpha=90.00 beta=97.78 gamma=90.00
Atoms (fractional coordinates):
1 Li 0.000 0.000 0.000
2 Tc 0.316 0.500 0.179
3 Tc 0.684 0.500 0.821
4 Te 0.500 0.000 0.500

Values from the calculation:
As for the space group: No. 10. The total energy comes out at -24.4 eV for the cell shown.

=====

The following is a PBE calculation of crystalline LiTc2Te at its relaxed geometry, from the Alexandria database.

Unit cell a=4.456 b=4.456 c=4.456 alpha=119.93 beta=119.93 gamma=90.12
Atoms (fractional coordinates):
1 Li 0.000 0.000 0.000
2 Tc 0.500 0.500 0.000
3 Tc 0.750 0.250 0.500
4 Te 0.250 0.750 0.500

Values from the calculation:
As for the space group: No. 119. The total energy comes out at -25.0 eV for the cell shown.

=====

Number 1: density of states at the Fermi level 0.65 states/eV/atom. Number 2: density of states at the Fermi level 0.35 states/eV/atom. Number 3: density of states at the Fermi level 0.37 states/eV/atom. Number 4: density of states at the Fermi level 0.92 states/eV/atom. Number 5: density of states at the Fermi level 1.07 states/eV/atom. Number 6: density of states at the Fermi level 0.68 states/eV/atom. Number 7: density of states at the Fermi level 0.85 states/eV/atom. Number 8: density of states at the Fermi level 0.33 states/eV/atom. Number 9: density of states at the Fermi level 0.89 states/eV/atom. Number 10: density of states at the Fermi level 0.91 states/eV/atom. Number 11: density of states at the Fermi level 0.88 states/eV/atom. Number 12: density of states at the Fermi level 0.33 states/eV/atom. Number 13: density of states at the Fermi level 0.43 states/eV/atom. Number 14: density of states at the Fermi level 0.53 states/eV/atom. Number 15: density of states at the Fermi level 0.95 states/eV/atom.